#P
Density functional theory data (PBE) for a geometry-optimized MgZr2Be structure.

Results
Fermi-level density of states   3.8 states/eV/f.u.

Cell: 3.082 3.082 8.110 Å, 90.00 90.00 90.00°
Positions (direct):
Mg1 0.000 0.000 0.000
Zr1 0.000 0.000 0.593
Zr2 0.500 0.500 0.303
Be1 0.500 0.500 0.804


#Q
Density functional theory data (PBE) for a geometry-optimized MgZr2Be structure.

Results
Fermi-level density of states   1.0 states/eV/f.u.

Cell: 6.688 6.688 6.688 Å, 90.00 90.00 90.00°
Positions (direct):
Mg1 0.000 0.000 0.000
Mg2 0.000 0.500 0.500
Mg3 0.500 0.000 0.500
Mg4 0.500 0.500 0.000
Zr1 0.250 0.250 0.250
Zr2 0.250 0.250 0.750
Zr3 0.250 0.750 0.250
Zr4 0.250 0.750 0.750
Zr5 0.750 0.250 0.250
Zr6 0.750 0.250 0.750
Zr7 0.750 0.750 0.250
Zr8 0.750 0.750 0.750
Be1 0.000 0.000 0.500
Be2 0.000 0.500 0.000
Be3 0.500 0.000 0.000
Be4 0.500 0.500 0.500


#R
Density functional theory data (PBE) for a geometry-optimized MgZr2Be structure.

Results
Fermi-level density of states   2.7 states/eV/f.u.

Cell: 3.131 3.984 6.304 Å, 90.00 90.00 90.00°
Positions (direct):
Mg1 0.000 0.000 0.000
Zr1 0.000 0.000 0.543
Zr2 0.500 0.500 0.279
Be1 0.500 0.500 0.755


#S
Density functional theory data (PBE) for a geometry-optimized MgZr2Be structure.

Results
Fermi-level density of states   3.7 states/eV/f.u.

Cell: 3.226 3.226 27.160 Å, 90.00 90.00 120.00°
Positions (direct):
Mg1 0.000 0.000 0.000
Mg2 0.333 0.667 0.667
Mg3 0.667 0.333 0.333
Zr1 0.000 0.000 0.234
Zr2 0.000 0.000 0.766
Zr3 0.333 0.667 0.433
Zr4 0.333 0.667 0.900
Zr5 0.667 0.333 0.100
Zr6 0.667 0.333 0.567
Be1 0.000 0.000 0.500
Be2 0.333 0.667 0.167
Be3 0.667 0.333 0.833


Most stable: #P. Least stable: #R.


#P
Density functional theory data (PBE) for a geometry-optimized Mn5Be structure.

Results
Fermi-level density of states   7.7 states/eV/f.u.

Cell: 8.517 2.758 5.545 Å, 90.00 109.76 90.00°
Positions (direct):
Mn1 0.000 0.000 0.000
Mn2 0.164 0.500 0.344
Mn3 0.171 0.500 0.828
Mn4 0.329 0.000 0.172
Mn5 0.336 0.000 0.656
Mn6 0.500 0.500 0.000
Mn7 0.664 0.000 0.344
Mn8 0.671 0.000 0.828
Mn9 0.829 0.500 0.172
Mn10 0.836 0.500 0.656
Be1 0.000 0.000 0.500
Be2 0.500 0.500 0.500


#Q
Density functional theory data (PBE) for a geometry-optimized Mn5Be structure.

Results
Fermi-level density of states   6.3 states/eV/f.u.

Cell: 3.956 2.542 12.374 Å, 90.00 90.00 90.00°
Positions (direct):
Mn1 0.000 0.000 0.000
Mn2 0.000 0.000 0.328
Mn3 0.000 0.000 0.667
Mn4 0.000 0.500 0.167
Mn5 0.000 0.500 0.500
Mn6 0.000 0.500 0.828
Mn7 0.500 0.000 0.116
Mn8 0.500 0.000 0.446
Mn9 0.500 0.500 0.616
Mn10 0.500 0.500 0.946
Be1 0.500 0.000 0.783
Be2 0.500 0.500 0.283


#R
Density functional theory data (PBE) for a geometry-optimized Mn5Be structure.

Results
Fermi-level density of states   5.8 states/eV/f.u.

Cell: 3.927 11.821 2.710 Å, 90.00 90.00 90.00°
Positions (direct):
Mn1 0.000 0.000 0.000
Mn2 0.000 0.172 0.500
Mn3 0.000 0.344 0.000
Mn4 0.000 0.656 0.000
Mn5 0.000 0.828 0.500
Mn6 0.500 0.156 0.000
Mn7 0.500 0.328 0.500
Mn8 0.500 0.500 0.000
Mn9 0.500 0.672 0.500
Mn10 0.500 0.844 0.000
Be1 0.000 0.500 0.500
Be2 0.500 0.000 0.500


Most stable: #P. Least stable: #R.


#P
Density functional theory data (PBE) for a geometry-optimized Mn3BeMo structure.

Results
Fermi-level density of states   4.4 states/eV/f.u.

Cell: 3.891 3.891 3.891 Å, 90.00 90.00 90.00°
Positions (direct):
Mn1 0.000 0.000 0.500
Mn2 0.000 0.500 0.000
Mn3 0.500 0.000 0.000
Be1 0.000 0.000 0.000
Mo1 0.500 0.500 0.500


#Q
Density functional theory data (PBE) for a geometry-optimized Mn3BeMo structure.

Results
Fermi-level density of states   6.2 states/eV/f.u.

Cell: 4.524 4.524 4.524 Å, 90.00 90.00 90.00°
Positions (direct):
Mn1 0.000 0.000 0.500
Mn2 0.000 0.500 0.000
Mn3 0.500 0.000 0.000
Be1 0.500 0.500 0.500
Mo1 0.000 0.000 0.000


Most stable: #P. Least stable: #Q.